Entry from Alexandria: a geometry-optimized BaAc structure (PBE).

POSCAR file:
```
BaAc
1.0
-2.997 -3.018 2.021
2.462 -3.615 -1.747
2.671 -0.055 3.879
Ba Ac
1 1
Direct
0.000 0.000 0.000
0.500 0.500 0.500
```

- N(E_F): 3.27 states/eV/f.u.
- Formation enthalpy at 0 K: 188 meV per atom
- Space group: No. 221
- Calculated total energy: -5.65 eV per cell
- Energy relative to the lowest polymorph listed for this composition: 106.0 meV/atom

Entry from Alexandria: a geometry-optimized Ba3Ac structure (PBE).

POSCAR file:
```
Ba3Ac
1.0
4.247 0.000 0.000
0.000 6.994 0.000
0.000 0.000 7.568
Ba Ac
3 1
Direct
0.500 0.000 0.505
0.500 0.500 0.834
0.000 0.500 0.322
0.000 0.000 0.006
```

- N(E_F): 6.20 states/eV/f.u.
- Formation enthalpy at 0 K: 91 meV per atom
- Space group: No. 25
- Calculated total energy: -9.51 eV per cell
- Energy relative to the lowest polymorph listed for this composition: 23.6 meV/atom

Entry from Alexandria: a geometry-optimized Ba2Ac structure (PBE).

POSCAR file:
```
Ba2Ac
1.0
-0.005 -3.773 -5.650
-4.873 -4.635 -0.991
-2.285 2.803 -1.869
Ba Ac
2 1
Direct
0.447 0.993 0.607
0.114 0.660 0.867
0.780 0.327 0.235
```

- N(E_F): 3.52 states/eV/f.u.
- Formation enthalpy at 0 K: 95 meV per atom
- Space group: No. 156
- Calculated total energy: -7.67 eV per cell
- Energy relative to the lowest polymorph listed for this composition: 15.7 meV/atom

Entry from Alexandria: a geometry-optimized Ba3Ac structure (PBE).

POSCAR file:
```
Ba3Ac
1.0
-5.417 -3.273 -2.579
-1.594 -6.259 2.235
-5.573 -0.940 3.843
Ba Ac
3 1
Direct
0.750 0.750 0.750
0.250 0.250 0.250
0.000 0.000 0.000
0.500 0.500 0.500
```

- N(E_F): 3.81 states/eV/f.u.
- Formation enthalpy at 0 K: 95 meV per atom
- Space group: No. 225
- Calculated total energy: -9.50 eV per cell
- Energy relative to the lowest polymorph listed for this composition: 27.2 meV/atom